1.
Crystalline SiNiTe2N at its relaxed geometry, computed with PBE.

**Energy above the lowest structure with this stoichiometry**: 3.50 kcal/mol of atoms
**Electronic total energy**: -4.561 eV per atom
**Formation energy from raw total energies**: 58 kJ/mol of atoms
**Magnetic moment**: 0.15 Bohr magnetons per cell

```
data_SiNiTe2N
_space_group_name_H-M_alt 'P 1'
_space_group_IT_number 1
_cell_length_a 5.337
_cell_length_b 5.337
_cell_length_c 3.437
_cell_angle_alpha 90.00
_cell_angle_beta 90.00
_cell_angle_gamma 90.00
loop_
_space_group_symop_operation_xyz
'x,y,z'
loop_
_atom_site_label
_atom_site_type_symbol
_atom_site_fract_x
_atom_site_fract_y
_atom_site_fract_z
Si1 Si 0.000 0.000 0.000
Ni1 Ni 0.500 0.500 0.500
Te1 Te 0.000 0.500 0.500
Te2 Te 0.500 0.000 0.500
N1 N 0.500 0.500 0.000
```

=====

2.
Crystalline HfTiCu4 at its relaxed geometry, computed with PBE.

**DFT formation energy**: -109.2 meV/atom
**Energy above the lowest structure with this stoichiometry**: 0.00 kcal/mol of atoms
**Electronic total energy**: -5.815 eV per atom
**Magnetic moment**: 0.71 Bohr magnetons per cell

```
data_HfTiCu4
_space_group_name_H-M_alt 'P 1'
_space_group_IT_number 1
_cell_length_a 4.731
_cell_length_b 4.731
_cell_length_c 4.568
_cell_angle_alpha 90.00
_cell_angle_beta 90.00
_cell_angle_gamma 122.10
loop_
_space_group_symop_operation_xyz
'x,y,z'
loop_
_atom_site_label
_atom_site_type_symbol
_atom_site_fract_x
_atom_site_fract_y
_atom_site_fract_z
Hf1 Hf 0.000 0.000 0.000
Ti1 Ti 0.500 0.500 0.500
Cu1 Cu 0.178 0.822 0.500
Cu2 Cu 0.328 0.672 0.000
Cu3 Cu 0.672 0.328 0.000
Cu4 Cu 0.822 0.178 0.500
```

=====

3.
Crystalline InAgRh2I at its relaxed geometry, computed with PBE.

**Electronic total energy**: -3.410 eV per atom
**Formation energy from raw total energies**: 92 kJ/mol of atoms
**Magnetic moment**: 1.01 Bohr magnetons per cell

```
data_InAgRh2I
_space_group_name_H-M_alt 'P 1'
_space_group_IT_number 1
_cell_length_a 5.002
_cell_length_b 5.002
_cell_length_c 5.119
_cell_angle_alpha 90.00
_cell_angle_beta 90.00
_cell_angle_gamma 90.00
loop_
_space_group_symop_operation_xyz
'x,y,z'
loop_
_atom_site_label
_atom_site_type_symbol
_atom_site_fract_x
_atom_site_fract_y
_atom_site_fract_z
In1 In 0.000 0.000 0.000
Ag1 Ag 0.000 0.000 0.500
Rh1 Rh 0.000 0.500 0.000
Rh2 Rh 0.500 0.000 0.000
I1 I 0.500 0.500 0.500
```

=====

4.
Crystalline ScBrF2 at its relaxed geometry, computed with PBE.

**Energy above the lowest structure with this stoichiometry**: 0.00 kcal/mol of atoms
**Electronic total energy**: -5.953 eV per atom
**Formation energy from raw total energies**: -291 kJ/mol of atoms
**Magnetic moment**: 0.00 Bohr magnetons per cell

```
data_ScBrF2
_space_group_name_H-M_alt 'P 1'
_space_group_IT_number 1
_cell_length_a 6.459
_cell_length_b 6.459
_cell_length_c 6.720
_cell_angle_alpha 90.00
_cell_angle_beta 90.00
_cell_angle_gamma 149.85
loop_
_space_group_symop_operation_xyz
'x,y,z'
loop_
_atom_site_label
_atom_site_type_symbol
_atom_site_fract_x
_atom_site_fract_y
_atom_site_fract_z
Sc1 Sc 0.239 0.761 0.750
Sc2 Sc 0.761 0.239 0.250
Br1 Br 0.427 0.573 0.250
Br2 Br 0.573 0.427 0.750
F1 F 0.194 0.806 0.077
F2 F 0.194 0.806 0.423
F3 F 0.806 0.194 0.577
F4 F 0.806 0.194 0.923
```

=====

5.
Crystalline Pm2Pr8Tl at its relaxed geometry, computed with PBE.

**DFT formation energy**: 18.8 meV/atom
**Energy above the lowest structure with this stoichiometry**: 1.44 kcal/mol of atoms
**Electronic total energy**: -4.536 eV per atom
**Magnetic moment**: 0.00 Bohr magnetons per cell

```
data_Pm2Pr8Tl
_space_group_name_H-M_alt 'P 1'
_space_group_IT_number 1
_cell_length_a 10.112
_cell_length_b 10.112
_cell_length_c 10.112
_cell_angle_alpha 147.21
_cell_angle_beta 134.76
_cell_angle_gamma 56.99
loop_
_space_group_symop_operation_xyz
'x,y,z'
loop_
_atom_site_label
_atom_site_type_symbol
_atom_site_fract_x
_atom_site_fract_y
_atom_site_fract_z
Pm1 Pm 0.192 0.192 0.000
Pm2 Pm 0.808 0.808 0.000
Pr1 Pr 0.090 0.363 0.726
Pr2 Pr 0.242 0.000 0.242
Pr3 Pr 0.322 0.822 0.500
Pr4 Pr 0.363 0.637 0.726
Pr5 Pr 0.637 0.363 0.274
Pr6 Pr 0.678 0.178 0.500
Pr7 Pr 0.758 0.000 0.758
Pr8 Pr 0.910 0.637 0.274
Tl1 Tl 0.500 0.500 0.000
```

=====

6.
Crystalline NdY6Tm3 at its relaxed geometry, computed with PBE.

**DFT formation energy**: 145.6 meV/atom
**Energy above the lowest structure with this stoichiometry**: 0.64 kcal/mol of atoms
**Electronic total energy**: -5.551 eV per atom
**Magnetic moment**: 0.00 Bohr magnetons per cell

```
data_NdY6Tm3
_space_group_name_H-M_alt 'P 1'
_space_group_IT_number 1
_cell_length_a 11.029
_cell_length_b 11.029
_cell_length_c 6.260
_cell_angle_alpha 90.00
_cell_angle_beta 90.00
_cell_angle_gamma 121.83
loop_
_space_group_symop_operation_xyz
'x,y,z'
loop_
_atom_site_label
_atom_site_type_symbol
_atom_site_fract_x
_atom_site_fract_y
_atom_site_fract_z
Nd1 Nd 0.212 0.788 0.500
Nd2 Nd 0.788 0.212 0.000
Y1 Y 0.019 0.439 0.655
Y2 Y 0.050 0.950 0.212
Y3 Y 0.288 0.373 0.804
Y4 Y 0.310 0.690 0.942
Y5 Y 0.373 0.288 0.304
Y6 Y 0.439 0.019 0.155
Y7 Y 0.561 0.981 0.655
Y8 Y 0.627 0.712 0.804
Y9 Y 0.690 0.310 0.442
Y10 Y 0.712 0.627 0.304
Y11 Y 0.950 0.050 0.712
Y12 Y 0.981 0.561 0.155
Tm1 Tm 0.075 0.291 0.245
Tm2 Tm 0.291 0.075 0.745
Tm3 Tm 0.385 0.615 0.406
Tm4 Tm 0.615 0.385 0.906
Tm5 Tm 0.709 0.925 0.245
Tm6 Tm 0.925 0.709 0.745
```

=====

7.
Crystalline Rb2SrSI6 at its relaxed geometry, computed with PBE.

**Electronic total energy**: -2.555 eV per atom
**Formation energy from raw total energies**: -82 kJ/mol of atoms
**Magnetic moment**: 2.00 Bohr magnetons per cell

```
data_Rb2SrSI6
_space_group_name_H-M_alt 'P 1'
_space_group_IT_number 1
_cell_length_a 8.723
_cell_length_b 8.723
_cell_length_c 8.723
_cell_angle_alpha 117.23
_cell_angle_beta 117.23
_cell_angle_gamma 94.86
loop_
_space_group_symop_operation_xyz
'x,y,z'
loop_
_atom_site_label
_atom_site_type_symbol
_atom_site_fract_x
_atom_site_fract_y
_atom_site_fract_z
Rb1 Rb 0.250 0.750 0.500
Rb2 Rb 0.750 0.250 0.500
Sr1 Sr 0.000 0.000 0.000
S1 S 0.500 0.500 0.000
I1 I 0.250 0.250 0.500
I2 I 0.250 0.750 0.000
I3 I 0.277 0.277 0.000
I4 I 0.723 0.723 0.000
I5 I 0.750 0.250 0.000
I6 I 0.750 0.750 0.500
```

=====

8.
Crystalline Pm2POs at its relaxed geometry, computed with PBE.

**DFT formation energy**: -286.5 meV/atom
**Energy above the lowest structure with this stoichiometry**: 2.63 kcal/mol of atoms
**Electronic total energy**: -6.822 eV per atom
**Magnetic moment**: 0.47 Bohr magnetons per cell

```
data_Pm2POs
_space_group_name_H-M_alt 'P 1'
_space_group_IT_number 1
_cell_length_a 5.008
_cell_length_b 5.008
_cell_length_c 5.008
_cell_angle_alpha 60.00
_cell_angle_beta 60.00
_cell_angle_gamma 60.00
loop_
_space_group_symop_operation_xyz
'x,y,z'
loop_
_atom_site_label
_atom_site_type_symbol
_atom_site_fract_x
_atom_site_fract_y
_atom_site_fract_z
Pm1 Pm 0.250 0.250 0.250
Pm2 Pm 0.750 0.750 0.750
P1 P 0.000 0.000 0.000
Os1 Os 0.500 0.500 0.500
```

=====

9.
Crystalline Cd6AgRh3 at its relaxed geometry, computed with PBE.

**DFT formation energy**: -81.2 meV/atom
**Electronic total energy**: -3.121 eV per atom
**Magnetic moment**: 0.00 Bohr magnetons per cell

```
data_Cd6AgRh3
_space_group_name_H-M_alt 'P 1'
_space_group_IT_number 1
_cell_length_a 7.855
_cell_length_b 4.772
_cell_length_c 10.376
_cell_angle_alpha 90.00
_cell_angle_beta 111.86
_cell_angle_gamma 90.00
loop_
_space_group_symop_operation_xyz
'x,y,z'
loop_
_atom_site_label
_atom_site_type_symbol
_atom_site_fract_x
_atom_site_fract_y
_atom_site_fract_z
Cd1 Cd 0.033 0.250 0.424
Cd2 Cd 0.153 0.750 0.176
Cd3 Cd 0.229 0.250 0.011
Cd4 Cd 0.338 0.250 0.331
Cd5 Cd 0.342 0.750 0.774
Cd6 Cd 0.425 0.250 0.625
Cd7 Cd 0.575 0.750 0.375
Cd8 Cd 0.658 0.250 0.226
Cd9 Cd 0.662 0.750 0.669
Cd10 Cd 0.771 0.750 0.989
Cd11 Cd 0.847 0.250 0.824
Cd12 Cd 0.967 0.750 0.576
Ag1 Ag 0.461 0.750 0.074
Ag2 Ag 0.539 0.250 0.926
Rh1 Rh 0.055 0.750 0.876
Rh2 Rh 0.132 0.250 0.721
Rh3 Rh 0.269 0.750 0.472
Rh4 Rh 0.731 0.250 0.528
Rh5 Rh 0.868 0.750 0.279
Rh6 Rh 0.945 0.250 0.124
```

=====

10.
Crystalline Dy6YPd2 at its relaxed geometry, computed with PBE.

**DFT formation energy**: -369.7 meV/atom
**Electronic total energy**: -5.310 eV per atom
**Magnetic moment**: 0.00 Bohr magnetons per cell

```
data_Dy6YPd2
_space_group_name_H-M_alt 'P 1'
_space_group_IT_number 1
_cell_length_a 8.255
_cell_length_b 8.255
_cell_length_c 10.816
_cell_angle_alpha 128.03
_cell_angle_beta 128.03
_cell_angle_gamma 25.78
loop_
_space_group_symop_operation_xyz
'x,y,z'
loop_
_atom_site_label
_atom_site_type_symbol
_atom_site_fract_x
_atom_site_fract_y
_atom_site_fract_z
Dy1 Dy 0.032 0.032 0.189
Dy2 Dy 0.285 0.285 0.889
Dy3 Dy 0.306 0.306 0.445
Dy4 Dy 0.694 0.694 0.555
Dy5 Dy 0.715 0.715 0.111
Dy6 Dy 0.968 0.968 0.811
Y1 Y 0.000 0.000 0.500
Pd1 Pd 0.405 0.405 0.232
Pd2 Pd 0.595 0.595 0.768
```

=====

> Look up the electronic total energy of the ninth one.

-3.121 eV per atom